RbGe: optimized geometry, PBE.

Unit cell a=3.961 b=15.030 c=8.324 alpha=90.00 beta=90.00 gamma=90.00
Fractional coordinates of all 12 atoms:
Rb: 0.250 0.010 0.226
Rb: 0.250 0.250 0.492
Rb: 0.250 0.490 0.226
Rb: 0.750 0.510 0.774
Rb: 0.750 0.750 0.508
Rb: 0.750 0.990 0.774
Ge: 0.250 0.170 0.923
Ge: 0.250 0.330 0.923
Ge: 0.250 0.750 0.896
Ge: 0.750 0.250 0.104
Ge: 0.750 0.670 0.077
Ge: 0.750 0.830 0.077

Calculated values
The total energy is -2.807 eV/atom. The formation energy comes out at -0.03 eV/f.u. The value obtained for the calculated volume is 41.29 Å³/atom. Its crystal system is orthorhombic. For the density of states at the Fermi level, the calculation gives 4.9 states/eV/cell.

Rb3Ge2: optimized geometry, PBE.

Unit cell a=13.229 b=7.723 c=15.020 alpha=61.63 beta=30.91 gamma=87.46
Fractional coordinates of all 10 atoms:
Rb: 0.000 0.000 0.000
Rb: 0.250 0.250 0.250
Rb: 0.397 0.408 0.358
Rb: 0.408 0.397 0.837
Rb: 0.413 0.892 0.842
Rb: 0.892 0.413 0.853
Ge: 0.033 0.639 0.428
Ge: 0.350 0.822 0.611
Ge: 0.639 0.033 0.900
Ge: 0.822 0.350 0.217

Calculated values
The total energy is -2.387 eV/atom. The formation energy comes out at 0.20 eV/f.u. The value obtained for the calculated volume is 41.23 Å³/atom. Its crystal system is orthorhombic. For the density of states at the Fermi level, the calculation gives 7.9 states/eV/cell.

RbGe: optimized geometry, PBE.

Unit cell a=9.836 b=9.836 c=9.836 alpha=92.51 beta=92.51 gamma=155.84
Fractional coordinates of all 8 atoms:
Rb: 0.000 0.231 0.231
Rb: 0.000 0.769 0.769
Rb: 0.231 0.000 0.231
Rb: 0.769 0.000 0.769
Ge: 0.287 0.287 0.573
Ge: 0.287 0.713 0.000
Ge: 0.713 0.287 0.000
Ge: 0.713 0.713 0.427

Calculated values
The total energy is -2.862 eV/atom. The formation energy comes out at -0.14 eV/f.u. The value obtained for the calculated volume is 47.60 Å³/atom. Its crystal system is tetragonal. For the density of states at the Fermi level, the calculation gives 4.1 states/eV/cell.

RbGe4: optimized geometry, PBE.

Unit cell a=5.588 b=5.588 c=5.588 alpha=90.00 beta=90.00 gamma=90.00
Fractional coordinates of all 5 atoms:
Rb: 0.000 0.000 0.000
Ge: 0.000 0.000 0.500
Ge: 0.000 0.500 0.000
Ge: 0.500 0.000 0.000
Ge: 0.500 0.500 0.500

Calculated values
The total energy is -2.078 eV/atom. The formation energy comes out at 9.05 eV/f.u. The value obtained for the calculated volume is 34.89 Å³/atom. Its crystal system is cubic. For the density of states at the Fermi level, the calculation gives 5.3 states/eV/cell.

RbGe8: optimized geometry, PBE.

Unit cell a=6.976 b=6.976 c=6.976 alpha=97.78 beta=97.78 gamma=136.82
Fractional coordinates of all 9 atoms:
Rb: 0.000 0.000 0.000
Ge: 0.000 0.363 0.363
Ge: 0.000 0.637 0.637
Ge: 0.287 0.287 0.574
Ge: 0.287 0.713 0.000
Ge: 0.363 0.000 0.363
Ge: 0.637 0.000 0.637
Ge: 0.713 0.287 0.000
Ge: 0.713 0.713 0.426

Calculated values
The total energy is -3.951 eV/atom. The formation energy comes out at 2.34 eV/f.u. The value obtained for the calculated volume is 24.00 Å³/atom. Its crystal system is tetragonal. For the density of states at the Fermi level, the calculation gives 3.3 states/eV/cell.

RbGe: optimized geometry, PBE.

Unit cell a=6.947 b=6.947 c=5.220 alpha=96.96 beta=96.96 gamma=44.26
Fractional coordinates of all 4 atoms:
Rb: 0.141 0.141 0.204
Rb: 0.859 0.859 0.796
Ge: 0.435 0.435 0.331
Ge: 0.565 0.565 0.669

Calculated values
The total energy is -2.799 eV/atom. The formation energy comes out at -0.01 eV/f.u. The value obtained for the calculated volume is 43.58 Å³/atom. Its crystal system is monoclinic.